1) Computed, not measured: SrGa2Si2O8 after structural relaxation at the PBE level of DFT.

Unit cell a=8.5029 b=9.1314 c=9.6153 alpha=90.00 beta=90.00 gamma=90.73
Closest atoms and distances in Å follow each position.
Sites, in units of the cell vectors:
Si (0.4401, 0.2583, 0.5827)  4 O 1.64-1.65
O (0.5641, 0.1063, 0.1944)  1 Si 1.64
O (0.4359, 0.3937, 0.6944)  1 Si 1.64
O (0.2634, 0.1817, 0.5753)  1 Si 1.65
O (0.5585, 0.6248, 0.8715)  1 Si 1.65
Si (0.5599, 0.7417, 0.4173)  4 O 1.64-1.65
Ga (0.4276, 0.9455, 0.1903)  4 O 1.82-1.86
O (0.2261, 0.9926, 0.1460)  1 Si 1.63
Ga (0.0698, 0.2738, 0.5757)  4 O 1.84-1.87
Si (0.4401, 0.7583, 0.9173)  4 O 1.64-1.65
O (0.4359, 0.8937, 0.8056)  1 Si 1.64
O (0.9379, 0.1216, 0.6361)  1 Si 1.65
Ga (0.9302, 0.2262, 0.0757)  4 O 1.84-1.87
Si (0.0548, 0.9372, 0.2016)  4 O 1.63-1.66
O (0.0621, 0.3784, 0.1361)  1 Si 1.65
O (0.4881, 0.6898, 0.5677)  1 Si 1.64
O (0.5641, 0.6063, 0.3056)  1 Si 1.64
O (0.9276, 0.0721, 0.1991)  1 Si 1.65, 1 Ga 1.84
Ga (0.5724, 0.0545, 0.8097)  4 O 1.82-1.86
O (0.0724, 0.4279, 0.6991)  1 Si 1.65, 1 Ga 1.84
O (0.7739, 0.5074, 0.6460)  1 Si 1.63
O (0.9838, 0.3073, 0.4024)  1 Si 1.66, 1 Ga 1.85
O (0.0621, 0.8784, 0.3639)  1 Si 1.65
O (0.5585, 0.1248, 0.6285)  1 Si 1.65
O (0.9379, 0.6216, 0.8639)  1 Si 1.65
Ga (0.0698, 0.7738, 0.9243)  4 O 1.84-1.87
O (0.0724, 0.9279, 0.8009)  1 Si 1.65, 1 Ga 1.84
O (0.9838, 0.8073, 0.0976)  1 Si 1.66, 1 Ga 1.85
Sr (0.2529, 0.3889, 0.9145)  7 O 2.61-2.73
O (0.4415, 0.8752, 0.3715)  1 Si 1.65
O (0.2261, 0.4926, 0.3540)  1 Si 1.63
Ga (0.4276, 0.4455, 0.3097)  4 O 1.82-1.86
Si (0.9452, 0.5628, 0.7016)  4 O 1.63-1.66
Ga (0.5724, 0.5545, 0.6903)  4 O 1.82-1.86
O (0.7366, 0.3183, 0.0753)  1 Si 1.65
O (0.4415, 0.3752, 0.1285)  1 Si 1.65
O (0.7366, 0.8183, 0.4247)  1 Si 1.65
Sr (0.2529, 0.8889, 0.5855)  7 O 2.61-2.73
Sr (0.7471, 0.6111, 0.0855)  7 O 2.61-2.73
O (0.0162, 0.6927, 0.5976)  1 Si 1.66, 1 Ga 1.85
O (0.5119, 0.8102, 0.0677)  1 Si 1.64
Si (0.0548, 0.4372, 0.2984)  4 O 1.63-1.66
O (0.0162, 0.1927, 0.9024)  1 Si 1.66, 1 Ga 1.85
O (0.5119, 0.3102, 0.4323)  1 Si 1.64
Ga (0.9302, 0.7262, 0.4243)  4 O 1.84-1.87
O (0.9276, 0.5721, 0.3009)  1 Si 1.65, 1 Ga 1.84
Si (0.5599, 0.2417, 0.0827)  4 O 1.64-1.65
O (0.2634, 0.6817, 0.9247)  1 Si 1.65
O (0.7739, 0.0074, 0.8540)  1 Si 1.63
O (0.4881, 0.1898, 0.9323)  1 Si 1.64
Si (0.9452, 0.0628, 0.7984)  4 O 1.63-1.66
Sr (0.7471, 0.1111, 0.4145)  7 O 2.61-2.73

Calculated values
- Spin magnetization: 0.000 μB per atom
- Crystal system: monoclinic
- D(E_F): 0.00 states/eV/cell


2) Computed, not measured: SrGa2Si2O8 after structural relaxation at the PBE level of DFT.

Unit cell a=8.5899 b=9.4518 c=9.4518 alpha=90.30 beta=96.94 gamma=83.06
Closest atoms and distances in Å follow each position.
Sites, in units of the cell vectors:
O (0.9971, 0.3126, 0.4308)  1 Si 1.64, 1 Ga 1.84
O (0.3108, 0.0138, 0.7324)  1 Si 1.64
O (0.0029, 0.6874, 0.5692)  1 Si 1.64, 1 Ga 1.84
O (0.8108, 0.2676, 0.9862)  1 Si 1.64
O (0.8807, 0.8165, 0.0540)  1 Si 1.64, 1 Ga 1.81
O (0.8938, 0.4084, 0.6764)  1 Si 1.62
O (0.2702, 0.7772, 0.4795)  1 Si 1.64
O (0.5071, 0.3751, 0.8750)  1 Si 1.66
Sr (0.3018, 0.4285, 0.0616)  5 O 2.47-2.74
Sr (0.6982, 0.5715, 0.9384)  5 O 2.47-2.74
Ga (0.4743, 0.7070, 0.5473)  4 O 1.83-1.86
O (0.0071, 0.1250, 0.6249)  1 Si 1.66
O (0.5592, 0.8584, 0.6418)  1 Si 1.65
O (0.7298, 0.2228, 0.5205)  1 Si 1.64
O (0.4971, 0.5692, 0.6874)  1 Si 1.64, 1 Ga 1.84
O (0.7702, 0.5205, 0.2228)  1 Si 1.64
O (0.6062, 0.6764, 0.4084)  1 Si 1.62
Ga (0.9743, 0.4527, 0.2930)  4 O 1.83-1.86
O (0.3938, 0.3236, 0.5916)  1 Si 1.62
Ga (0.8811, 0.9405, 0.2011)  4 O 1.81-1.87
O (0.6193, 0.0540, 0.8165)  1 Si 1.64, 1 Ga 1.81
O (0.9408, 0.6418, 0.8584)  1 Si 1.65
O (0.1193, 0.1835, 0.9460)  1 Si 1.64, 1 Ga 1.81
O (0.6892, 0.9862, 0.2676)  1 Si 1.64
O (0.5029, 0.4308, 0.3126)  1 Si 1.64, 1 Ga 1.84
O (0.1062, 0.5916, 0.3236)  1 Si 1.62
O (0.2298, 0.4795, 0.7772)  1 Si 1.64
Ga (0.0257, 0.5473, 0.7070)  4 O 1.83-1.86
Si (0.4030, 0.4348, 0.7227)  4 O 1.62-1.66
O (0.4929, 0.6249, 0.1250)  1 Si 1.66
Si (0.9030, 0.2773, 0.5652)  4 O 1.62-1.66
Ga (0.1189, 0.0595, 0.7989)  4 O 1.81-1.87
Ga (0.3811, 0.7989, 0.0595)  4 O 1.81-1.87
Sr (0.8018, 0.9384, 0.5715)  5 O 2.47-2.74
Ga (0.5257, 0.2930, 0.4527)  4 O 1.83-1.86
O (0.0019, 0.9099, 0.8214)  1 Si 1.64
Si (0.4912, 0.9393, 0.7813)  4 O 1.64-1.65
O (0.9929, 0.8750, 0.3751)  1 Si 1.66
Ga (0.6189, 0.2011, 0.9405)  4 O 1.81-1.87
Si (0.0088, 0.7813, 0.9393)  4 O 1.64-1.65
O (0.9981, 0.0901, 0.1786)  1 Si 1.64
Si (0.5970, 0.5652, 0.2773)  4 O 1.62-1.66
Si (0.5088, 0.0607, 0.2187)  4 O 1.64-1.65
O (0.0592, 0.3582, 0.1416)  1 Si 1.65
O (0.4981, 0.8214, 0.9099)  1 Si 1.64
O (0.4408, 0.1416, 0.3582)  1 Si 1.65
Si (0.9912, 0.2187, 0.0607)  4 O 1.64-1.65
O (0.1892, 0.7324, 0.0138)  1 Si 1.64
Si (0.0970, 0.7227, 0.4348)  4 O 1.62-1.66
O (0.5019, 0.1786, 0.0901)  1 Si 1.64
Sr (0.1982, 0.0616, 0.4285)  5 O 2.47-2.74
O (0.3807, 0.9460, 0.1835)  1 Si 1.64, 1 Ga 1.81

Calculated values
- Spin magnetization: 0.000 μB per atom
- Crystal system: monoclinic
- D(E_F): 0.00 states/eV/cell


Stability verdict: 1), ahead by 0.016 eV/atom


1) Computed, not measured: SmGaO after structural relaxation at the PBE level of DFT.

Unit cell a=3.3864 b=3.3864 c=9.1186 alpha=90.00 beta=90.00 gamma=90.00
Closest atoms and distances in Å follow each position.
Sites, in units of the cell vectors:
Ga (0.5000, 0.0000, 0.4272)  4 Ga 2.74, 1 O 2.99
O (0.5000, 0.0000, 0.0993)  5 Sm 2.37-2.46
Sm (0.5000, 0.0000, 0.8392)  5 O 2.37-2.46
Ga (0.0000, 0.5000, 0.5728)  4 Ga 2.74, 1 O 2.99
O (0.0000, 0.5000, 0.9007)  5 Sm 2.37-2.46
Sm (0.0000, 0.5000, 0.1608)  5 O 2.37-2.46

Calculated values
- Spin magnetization: 0.000 μB per atom
- Crystal system: tetragonal
- D(E_F): 2.29 states/eV/cell


2) Computed, not measured: SmGaO after structural relaxation at the PBE level of DFT.

Unit cell a=3.9513 b=3.9513 c=7.8907 alpha=89.95 beta=90.04 gamma=90.00
Closest atoms and distances in Å follow each position.
Sites, in units of the cell vectors:
O (0.7500, 0.7500, 0.5000)  4 Sm 2.29
Ga (0.2502, 0.7498, 0.9439)  4 Ga 2.93, 1 Sm 3.24
Ga (0.7498, 0.2502, 0.0561)  4 Ga 2.93, 1 Sm 3.24
Sm (0.2498, 0.7502, 0.3539)  4 O 2.29
Sm (0.7502, 0.2498, 0.6461)  4 O 2.29
O (0.2500, 0.2500, 0.5000)  4 Sm 2.29

Calculated values
- Spin magnetization: 0.000 μB per atom
- Crystal system: tetragonal
- D(E_F): 2.22 states/eV/cell


Stability verdict: 2), ahead by 0.114 eV/atom


1) Computed, not measured: SmGa2O4 after structural relaxation at the PBE level of DFT.

Unit cell a=5.7921 b=5.7921 c=5.7921 alpha=102.36 beta=102.36 gamma=124.88
Closest atoms and distances in Å follow each position.
Sites, in units of the cell vectors:
O (0.1829, 0.5019, 0.6848)  2 Ga 1.89
O (0.5019, 0.8171, 0.3191)  2 Ga 1.89
O (0.8171, 0.4981, 0.3152)  2 Ga 1.89
Ga (0.2500, 0.7500, 0.5000)  4 O 1.89
Ga (0.7500, 0.2500, 0.5000)  4 O 1.89
O (0.4981, 0.1829, 0.6809)  2 Ga 1.89
Sm (0.5000, 0.5000, 0.0000)  4 O 2.30

Calculated values
- Spin magnetization: 0.000 μB per atom
- Crystal system: tetragonal
- D(E_F): 1.26 states/eV/cell


2) Computed, not measured: SmGa2O4 after structural relaxation at the PBE level of DFT.

Unit cell a=6.8242 b=5.8684 c=5.8688 alpha=78.95 beta=69.93 gamma=69.94
Closest atoms and distances in Å follow each position.
Sites, in units of the cell vectors:
O (0.9566, 0.7847, 0.3286)  1 Ga 1.83
Sm (0.7718, 0.4964, 0.4343)  6 O 2.26-2.48
Sm (0.9783, 0.0656, 0.0037)  6 O 2.26-2.48
O (0.0692, 0.7209, 0.8247)  2 Ga 1.86
Ga (0.4779, 0.6037, 0.0676)  3 O 1.86-2.00
O (0.2609, 0.2080, 0.6964)  2 Ga 1.89-1.96
O (0.7935, 0.1715, 0.7153)  1 Ga 1.82
O (0.1403, 0.2556, 0.2070)  2 Ga 1.99-2.00
O (0.4892, 0.8035, 0.2920)  2 Ga 1.89-1.96
O (0.6098, 0.2930, 0.2443)  2 Ga 1.99-2.00
O (0.6804, 0.6757, 0.7789)  2 Ga 1.86
Ga (0.2721, 0.4324, 0.8963)  3 O 1.86-2.00
Ga (0.3750, 0.1322, 0.3678)  4 O 1.89-1.99
Ga (0.8750, 0.8569, 0.6432)  4 O 1.82-1.86

Calculated values
- Spin magnetization: 0.000 μB per atom
- Crystal system: monoclinic
- D(E_F): 0.00 states/eV/cell


Stability verdict: 2), ahead by 0.214 eV/atom


1) Computed, not measured: Sm4Ga2O after structural relaxation at the PBE level of DFT.

Unit cell a=4.6688 b=4.6688 c=8.8849 alpha=74.77 beta=74.77 gamma=90.00
Closest atoms and distances in Å follow each position.
Sites, in units of the cell vectors:
O (0.0000, 0.0000, 0.0000)  4 Sm 2.33, 2 Ga 2.36
Ga (0.1428, 0.1428, 0.7144)  1 O 2.36
Sm (0.5000, 0.0000, 0.0000)  2 O 2.33
Sm (0.6775, 0.6775, 0.6451)  1 Ga 2.96
Sm (0.3225, 0.3225, 0.3549)  1 Ga 2.96
Ga (0.8572, 0.8572, 0.2856)  1 O 2.36
Sm (0.0000, 0.5000, 0.0000)  2 O 2.33

Calculated values
- Spin magnetization: 0.000 μB per atom
- Crystal system: tetragonal
- D(E_F): 7.03 states/eV/cell


2) Computed, not measured: Sm4Ga2O after structural relaxation at the PBE level of DFT.

Unit cell a=6.6101 b=6.8942 c=8.6047 alpha=90.00 beta=108.93 gamma=90.00
Closest atoms and distances in Å follow each position.
Sites, in units of the cell vectors:
Sm (0.9074, 0.2500, 0.0756)  1 O 2.26
Sm (0.4898, 0.0016, 0.7381)  1 O 2.27
O (0.2712, 0.7500, 0.1979)  4 Sm 2.26-2.28
Ga (0.6996, 0.7500, 0.0399)  6 Sm 3.02-3.12
Sm (0.4898, 0.4984, 0.7381)  1 O 2.27
Sm (0.5102, 0.5016, 0.2619)  1 O 2.27
Sm (0.0616, 0.7500, 0.3629)  1 O 2.28
Sm (0.0926, 0.7500, 0.9244)  1 O 2.26
Ga (0.3004, 0.2500, 0.9601)  6 Sm 3.02-3.12
O (0.7288, 0.2500, 0.8021)  4 Sm 2.26-2.28
Ga (0.7637, 0.7500, 0.5734)  6 Sm 3.08-3.16
Ga (0.2363, 0.2500, 0.4266)  6 Sm 3.08-3.16
Sm (0.9384, 0.2500, 0.6371)  1 O 2.28
Sm (0.5102, 0.9984, 0.2619)  1 O 2.27

Calculated values
- Spin magnetization: 0.000 μB per atom
- Crystal system: monoclinic
- D(E_F): 9.44 states/eV/cell


Stability verdict: 2), ahead by 0.241 eV/atom


1) Computed, not measured: GaSn2O2 after structural relaxation at the PBE level of DFT.

Unit cell a=5.9779 b=5.9779 c=4.7502 alpha=90.00 beta=90.00 gamma=90.00
Closest atoms and distances in Å follow each position.
Sites, in units of the cell vectors:
Sn (0.6936, 0.8064, 0.5000)  2 O 2.40
O (0.7314, 0.7686, 0.0000)  2 Ga 2.12
Ga (0.0000, 0.0000, 0.0000)  4 O 2.12
Ga (0.5000, 0.5000, 0.0000)  4 O 2.12
Sn (0.8064, 0.3064, 0.5000)  2 O 2.40
O (0.7686, 0.2686, 0.0000)  2 Ga 2.12
Sn (0.3064, 0.1936, 0.5000)  2 O 2.40
O (0.2686, 0.2314, 0.0000)  2 Ga 2.12
Sn (0.1936, 0.6936, 0.5000)  2 O 2.40
O (0.2314, 0.7314, 0.0000)  2 Ga 2.12

Calculated values
- Spin magnetization: 0.000 μB per atom
- Crystal system: tetragonal
- D(E_F): 2.70 states/eV/cell


2) Computed, not measured: GaSn2O2 after structural relaxation at the PBE level of DFT.

Unit cell a=4.8644 b=4.8644 c=5.0578 alpha=61.26 beta=61.26 gamma=90.00
Closest atoms and distances in Å follow each position.
Sites, in units of the cell vectors:
O (0.5960, 0.5960, 0.8080)  1 O 1.42
Sn (0.7500, 0.2500, 0.5000)  4 O 2.69
O (0.4040, 0.4040, 0.1920)  1 O 1.42
Ga (0.0000, 0.0000, 0.0000)  2 O 3.00, 8 Sn 3.06
Sn (0.2500, 0.7500, 0.5000)  4 O 2.69

Calculated values
- Spin magnetization: 0.000 μB per atom
- Crystal system: tetragonal
- D(E_F): 3.74 states/eV/cell


Stability verdict: 1), ahead by 0.549 eV/atom


1) Computed, not measured: Ga3SnO after structural relaxation at the PBE level of DFT.

Unit cell a=5.3081 b=5.3081 c=5.3081 alpha=90.00 beta=90.00 gamma=90.00
Closest atoms and distances in Å follow each position.
Sites, in units of the cell vectors:
Ga (0.0000, 0.0000, 0.5000)  2 Sn 2.65
Ga (0.0000, 0.5000, 0.0000)  2 Sn 2.65
Ga (0.5000, 0.0000, 0.0000)  2 Sn 2.65
Sn (0.0000, 0.0000, 0.0000)  6 Ga 2.65
O (0.5000, 0.5000, 0.5000)  12 Ga 3.75

Calculated values
- Spin magnetization: 0.000 μB per atom
- Crystal system: cubic
- D(E_F): 3.87 states/eV/cell


2) Computed, not measured: Ga3SnO after structural relaxation at the PBE level of DFT.

Unit cell a=4.5190 b=4.5190 c=4.5190 alpha=90.00 beta=90.00 gamma=90.00
Closest atoms and distances in Å follow each position.
Sites, in units of the cell vectors:
Ga (0.0000, 0.0000, 0.5000)  2 O 2.26
Sn (0.5000, 0.5000, 0.5000)  12 Ga 3.20
Ga (0.5000, 0.0000, 0.0000)  2 O 2.26
O (0.0000, 0.0000, 0.0000)  6 Ga 2.26
Ga (0.0000, 0.5000, 0.0000)  2 O 2.26

Calculated values
- Spin magnetization: 0.000 μB per atom
- Crystal system: cubic
- D(E_F): 2.07 states/eV/cell


Stability verdict: 2), ahead by 1.039 eV/atom


1) Computed, not measured: GaSn2O after structural relaxation at the PBE level of DFT.

Unit cell a=5.4164 b=5.4164 c=7.4315 alpha=68.63 beta=68.63 gamma=90.00
Closest atoms and distances in Å follow each position.
Sites, in units of the cell vectors:
O (0.2500, 0.7500, 0.5000)  4 Sn 2.30
O (0.5000, 0.5000, 0.0000)  4 Sn 2.30
Ga (0.7500, 0.2500, 0.5000)  4 Sn 2.72
Sn (0.5525, 0.1250, 0.2500)  2 O 2.30
Sn (0.1975, 0.6250, 0.2500)  2 O 2.30
Sn (0.3750, 0.4475, 0.7500)  2 O 2.30
Ga (0.0000, 0.0000, 0.0000)  4 Sn 2.72
Sn (0.8750, 0.8025, 0.7500)  2 O 2.30

Calculated values
- Spin magnetization: 0.000 μB per atom
- Crystal system: tetragonal
- D(E_F): 1.99 states/eV/cell


2) Computed, not measured: GaSn2O after structural relaxation at the PBE level of DFT.

Unit cell a=4.7439 b=4.7439 c=4.7439 alpha=60.00 beta=60.00 gamma=60.00
Closest atoms and distances in Å follow each position.
Sites, in units of the cell vectors:
Sn (0.7500, 0.7500, 0.7500)  4 Ga 2.91, 4 O 2.91
Sn (0.2500, 0.2500, 0.2500)  4 O 2.91, 4 Ga 2.91
Ga (0.5000, 0.5000, 0.5000)  8 Sn 2.91
O (0.0000, 0.0000, 0.0000)  8 Sn 2.91

Calculated values
- Spin magnetization: 0.000 μB per atom
- Crystal system: cubic
- D(E_F): 3.65 states/eV/cell


Stability verdict: 1), ahead by 0.361 eV/atom


1) Computed, not measured: Ta2Ga2O after structural relaxation at the PBE level of DFT.

Unit cell a=5.6962 b=5.6962 c=4.8242 alpha=90.00 beta=90.00 gamma=90.00
Closest atoms and distances in Å follow each position.
Sites, in units of the cell vectors:
Ta (0.1754, 0.6754, 0.5000)  6 Ga 2.75-3.08, 5 Ta 2.83-2.97
Ta (0.8246, 0.3246, 0.5000)  6 Ga 2.75-3.08, 5 Ta 2.83-2.97
O (0.0000, 0.0000, 0.0000)  4 Ga 2.14
Ga (0.1594, 0.3406, 0.0000)  2 O 2.14
Ga (0.6594, 0.1594, 0.0000)  2 O 2.14
Ga (0.3406, 0.8406, 0.0000)  2 O 2.14
Ta (0.3246, 0.1754, 0.5000)  6 Ga 2.75-3.08, 5 Ta 2.83-2.97
Ga (0.8406, 0.6594, 0.0000)  2 O 2.14
Ta (0.6754, 0.8246, 0.5000)  6 Ga 2.75-3.08, 5 Ta 2.83-2.97
O (0.5000, 0.5000, 0.0000)  4 Ga 2.14

Calculated values
- Spin magnetization: 0.000 μB per atom
- Crystal system: tetragonal
- D(E_F): 4.52 states/eV/cell


2) Computed, not measured: Ta2Ga2O after structural relaxation at the PBE level of DFT.

Unit cell a=3.6387 b=3.6387 c=7.4822 alpha=75.93 beta=75.93 gamma=90.00
Closest atoms and distances in Å follow each position.
Sites, in units of the cell vectors:
Ta (0.7500, 0.2500, 0.5000)  4 Ta 2.57
O (0.0000, 0.0000, 0.0000)  8 Ga 2.83
Ga (0.5845, 0.5845, 0.8309)  1 Ga 2.38
Ta (0.2500, 0.7500, 0.5000)  4 Ta 2.57
Ga (0.4155, 0.4155, 0.1691)  1 Ga 2.38

Calculated values
- Spin magnetization: 0.138 μB per atom
- Crystal system: tetragonal
- D(E_F): 4.44 states/eV/cell


Stability verdict: 1), ahead by 0.507 eV/atom